Material: LaErTm2Cd4
Method: DFT, GGA-PBE
State: relaxed

Lattice parameters (Å, degrees): 9.2511 9.2511 9.2511 33.41 33.41 33.41
Fractional coordinates of all 8 atoms:
La 0.0000 0.0000 0.0000
Er 0.5000 0.5000 0.5000
Tm 0.2486 0.2486 0.2486
Tm 0.7514 0.7514 0.7514
Cd 0.1273 0.1273 0.1273
Cd 0.3786 0.3786 0.3786
Cd 0.6214 0.6214 0.6214
Cd 0.8727 0.8727 0.8727

## Properties
Total magnetic moment   0.02 μB per formula unit
Symmetry   R-3m (166)
Theoretical density   8498 kg/m3
DFT total energy   -3.0633 eV/atom
Formation energy from the elements   -0.30 eV per atom
D(E_F)   1.000 states/eV/atom